CuC, relaxed, DFT PBE-GGA; E_form = 1400.5 meV per atom; E above lowest polymorph = 1.1802 eV per atom
1.0
-1.3751 2.0555 -0.3422
-1.8887 -1.0562 1.2452
1.9694 2.1134 4.7800
C Cu
2 2
Cartesian
-1.7603 -0.2783 0.8483
-1.5035 1.2776 0.0546
-0.1610 0.9526 1.8153
-1.1333 2.1601 3.8675



Tl5Sb, relaxed, DFT PBE-GGA; E above lowest polymorph = 0.0285 eV per atom; formation energy without anion corrections = 0.35 kcal/mol of atoms
1.0
7.0573 0.1075 -0.1223
6.1933 3.3853 -0.1223
1.9630 0.5174 8.0637
Sb Tl
1 5
Cartesian
1.9842 0.5230 8.0558
5.1430 1.3556 2.4653
10.0789 2.6567 5.2872
8.6553 2.2815 2.0778
13.6527 3.5987 4.7594
5.5544 1.4641 7.5723



BaSiTcRh2, relaxed, DFT PBE-GGA; formation energy without anion corrections = 3.00 kcal/mol of atoms
1.0
-3.7008 -1.4609 -2.4187
0.9464 -4.4100 1.2155
-2.6635 0.4730 3.7898
Si Rh Ba Tc
1 2 1 1
Cartesian
0.0000 0.0000 0.0000
-1.3317 0.2365 1.8949
-1.8504 -0.7304 -1.2093
-2.7090 -2.6990 1.2933
0.4732 -2.2050 0.6078



RbYNiCl6, relaxed, DFT PBE-GGA; formation energy without anion corrections = -38.04 kcal/mol of atoms
1.0
-3.7606 -4.5088 3.0806
2.3840 -6.0795 1.1479
2.6306 2.2632 6.5236
Rb Y Ni Cl
1 1 1 6
Cartesian
-1.1298 -2.2456 9.6041
0.8565 -2.3979 4.6713
0.3977 -5.9272 6.0806
-1.9500 -6.0373 5.4319
2.7108 -6.0828 6.8356
0.3305 -3.6510 6.9518
-0.3077 -6.7227 8.2748
0.8892 -4.9398 3.9063
0.7133 -8.1298 5.0838



Number 1: V 34.8 Å³ per cell. Number 2: V 188.1 Å³ per cell. Number 3: V 101.3 Å³ per cell. Number 4: V 281.3 Å³ per cell.